Entry 1:
Density functional theory data (PBE) for BeCd2Pd6 after structural relaxation.

The structure in POSCAR format:
```
BeCd2Pd6
1.0
-1.4346 3.7719 6.8582
1.4346 -3.7719 6.8582
1.4346 3.7719 -6.8582
Be Cd Pd
1 2 6
Direct
0.0000 0.0000 0.0000
0.3518 0.3518 0.0000
0.6482 0.6482 0.0000
0.0123 0.8312 0.1811
0.2352 0.5000 0.7352
0.3499 0.1688 0.1811
0.6501 0.8312 0.8189
0.7648 0.5000 0.2648
0.9877 0.1688 0.8189
```

Calculated values
Total moment ... 0.00 μB per formula unit
Symmetry ... Immm, No. 71
Final energy ... -38.59 eV/cell

---

Entry 2:
Density functional theory data (PBE) for YCr2Hg after structural relaxation.

The structure in POSCAR format:
```
YCr2Hg
1.0
3.2026 0.0000 0.0000
0.0000 3.2026 0.0000
0.0000 0.0000 7.4073
Y Cr Hg
1 2 1
Direct
0.0000 0.0000 0.0000
0.0000 0.0000 0.4332
0.5000 0.5000 0.2954
0.5000 0.5000 0.6889
```

Calculated values
Total moment ... 0.14 μB per formula unit
E above lowest polymorph ... 0.000 eV per formula unit
Symmetry ... P4mm, No. 99